This record from OQMD via LeMat-Bulk describes crystalline Lu3GaC at its relaxed geometry. The functional is PBE-GGA.

Structure (POSCAR):
```
Lu3GaC
1.0
-2.4301 -2.9796 -2.7327
-1.1295 -2.5610 3.7968
-3.8819 2.6103 0.6059
Lu Ga C
3 1 1
direct
0.5000 0.5000 0.0000
0.0000 0.5000 0.5000
0.5000 0.0000 0.5000
0.0000 0.0000 0.0000
0.5000 0.5000 0.5000
```

Properties
**Uncorrected energy**: -5.71 eV/atom
**Total moment**: 0.00 Bohr magnetons per cell